A plane-wave DFT calculation with GGA-PBE was carried out for a geometry-optimized Rb2Bi7Pb12 structure.

CIF file:
```
data_Rb2Bi7Pb12
_space_group_name_H-M_alt 'P -3'
_space_group_IT_number 147
_space_group_name_Hall '-P 3'
_cell_length_a 13.8359
_cell_length_b 13.8359
_cell_length_c 4.6457
_cell_angle_alpha 90.00
_cell_angle_beta 90.00
_cell_angle_gamma 120.00
loop_
_atom_site_label
_atom_site_type_symbol
_atom_site_fract_x
_atom_site_fract_y
_atom_site_fract_z
Rb1 Rb 0.3333 0.6667 0.2372
Bi1 Bi 0.0000 0.0000 0.5000
Bi2 Bi 0.1375 0.7216 0.7344
Pb1 Pb 0.0407 0.4329 0.7494
Pb2 Pb 0.0898 0.2567 0.2425
```

Calculated values
Density in kg/m3: 8883
E_tot in eV for the cell shown: -74.474
ΔH_f (0 K) in kJ/mol of formula units: -84.2